Entry 1:
{"formula": "BiSbPd", "functional": "PBE", "state": "relaxed", "sg": "F-43m", "polymorph_energy_mev_per_atom": 0, "lattice": [[0.000, 3.368, 3.368], [3.368, 0.000, 3.368], [3.368, 3.368, 0.000]], "species": ["Pd", "Bi", "Sb"], "fractional_positions": [[0.000, 0.000, 0.000], [0.250, 0.250, 0.250], [0.750, 0.750, 0.750]]}



Entry 2:
{"formula": "CsHoTe7P2", "functional": "PBE", "state": "relaxed", "magmom_total_mub_per_cell": 0.01, "sg": "C2", "dft_energy_ha_per_atom": -0.141, "lattice": [[5.111, -5.780, 0.000], [5.111, 5.780, 0.000], [-1.427, 0.000, 7.474]], "species": ["Ho", "Te", "Te", "Cs", "Te", "Te", "Te", "P", "P", "Te", "Te"], "fractional_positions": [[0.503, 0.497, 0.500], [0.533, 0.884, 0.673], [0.116, 0.467, 0.327], [0.099, 0.901, 0.000], [0.999, 0.001, 0.500], [0.817, 0.432, 0.765], [0.639, 0.675, 0.196], [0.049, 0.335, 0.593], [0.665, 0.951, 0.407], [0.568, 0.183, 0.235], [0.325, 0.361, 0.804]]}